NaSnBiCl6 | Alexandria via LeMat-Bulk | PBE | optimized geometry; symmetry = P-31c, No. 163; raw formation energy = -1174 meV per atom
1.0
7.0542 0.0000 0.0000
-3.5271 6.1091 0.0000
0.0000 0.0000 12.5231
Na Sn Bi Cl
2 2 2 12
Direct
0.3333 0.6667 0.2500
0.6667 0.3333 0.7500
0.0000 0.0000 0.0000
0.0000 0.0000 0.5000
0.6667 0.3333 0.2500
0.3333 0.6667 0.7500
0.6652 0.6546 0.1272
0.9893 0.3348 0.1272
0.3348 0.9893 0.6272
0.0107 0.6652 0.8728
0.3454 0.3348 0.3728
0.9893 0.6546 0.3728
0.6546 0.9893 0.8728
0.6652 0.0107 0.3728
0.0107 0.3454 0.6272
0.3454 0.0107 0.1272
0.6546 0.6652 0.6272
0.3348 0.3454 0.8728



Li2InCl | Alexandria via LeMat-Bulk | PBE | optimized geometry; symmetry = C2/m, No. 12; energy relative to the lowest polymorph listed for this composition = 0.0000 eV/atom; raw formation energy = -904 meV per atom
1.0
-0.9062 1.3724 3.0088
-3.0875 -0.6807 1.3273
1.6766 -6.0342 5.1926
Cl In Li
1 1 2
Direct
0.2500 0.2500 0.2500
0.7500 0.7500 0.7500
0.9792 0.9792 0.0587
0.5208 0.5208 0.4413



NaTeAu3 | Alexandria via LeMat-Bulk | PBE | optimized geometry; symmetry = Pm-3m, No. 221; energy relative to the lowest polymorph listed for this composition = 0.0000 eV/atom; raw formation energy = 133 meV per atom
1.0
5.4214 0.0000 0.0000
0.0000 5.4214 0.0000
0.0000 0.0000 5.4214
Na Te Au
1 1 3
Direct
0.5000 0.5000 0.5000
0.0000 0.0000 0.0000
0.0000 0.5000 0.0000
0.0000 0.0000 0.5000
0.5000 0.0000 0.0000



Y4Pd7Au | Alexandria via LeMat-Bulk | PBE | optimized geometry; symmetry = C2/m, No. 12; energy relative to the lowest polymorph listed for this composition = 0.1951 eV/atom; ΔH_f (0 K) = -605 meV per atom
1.0
-1.3485 0.1112 5.0696
-9.1311 -2.6542 0.3449
0.6626 -5.0347 3.0021
Y Pd Au
4 7 1
Direct
0.6006 0.2065 0.5923
0.3994 0.7935 0.4077
0.7961 0.6306 0.7772
0.2039 0.3694 0.2228
0.7927 0.9039 0.5107
0.2073 0.0961 0.4893
0.0777 0.6916 0.1529
0.9223 0.3084 0.8471
0.3699 0.5142 0.7459
0.5000 0.0000 0.0000
0.6301 0.4858 0.2541
0.0000 0.0000 0.0000



Sc6Tl5Pd | Alexandria via LeMat-Bulk | PBE | optimized geometry; symmetry = Cmmm, No. 65; ΔH_f (0 K) = -341 meV per atom
1.0
0.1377 1.9328 4.6257
-3.5445 -5.7062 2.4898
6.5908 -2.5318 3.5803
Sc Tl Pd
6 5 1
Direct
0.8402 0.7589 0.3196
0.8402 0.2411 0.3196
0.5000 0.2391 0.0000
0.5000 0.7609 0.0000
0.1598 0.7589 0.6804
0.1598 0.2411 0.6804
0.6701 0.5000 0.6598
0.3345 0.0000 0.3309
0.0000 0.5000 0.0000
0.6655 0.0000 0.6691
0.3299 0.5000 0.3402
0.0000 0.0000 0.0000



Tb3IrO7 | Alexandria via LeMat-Bulk | PBE | optimized geometry; symmetry = C222_1, No. 20; raw formation energy = -2671 meV per atom
1.0
-5.7564 -0.5783 -2.9570
-0.6536 -1.7265 6.2295
-1.6202 7.0321 1.7790
Tb Ir O
6 2 14
Direct
0.4729 0.4729 0.5000
0.5271 0.5271 0.0000
0.5339 0.9995 0.2546
0.4661 0.0005 0.7546
0.9995 0.5339 0.7454
0.0005 0.4661 0.2454
0.0007 0.0007 0.5000
0.9993 0.9993 0.0000
0.6875 0.9397 0.5326
0.3125 0.0603 0.0326
0.9397 0.6875 0.4674
0.0603 0.3125 0.9674
0.0804 0.3248 0.5246
0.9196 0.6752 0.0246
0.3248 0.0804 0.4754
0.6752 0.9196 0.9754
0.3689 0.6311 0.2500
0.6311 0.3689 0.7500
0.6367 0.3633 0.2500
0.3633 0.6367 0.7500
0.9279 0.0721 0.2500
0.0721 0.9279 0.7500



CoTc | Alexandria via LeMat-Bulk | PBE | optimized geometry; symmetry = R-3m, No. 166; energy relative to the lowest polymorph listed for this composition = 0.2010 eV/atom; ΔH_f (0 K) = 154 meV per atom
1.0
-1.9794 -1.7704 0.2621
0.3314 -2.5076 -0.8504
3.5155 -0.7633 7.8082
Co Tc
2 2
Direct
0.9962 0.9962 0.9885
0.2538 0.2538 0.7615
0.5015 0.5015 0.5046
0.7485 0.7485 0.2454



KGaI2Cl | Alexandria via LeMat-Bulk | PBE | optimized geometry; symmetry = P4/mmm, No. 123; raw formation energy = -938 meV per atom
1.0
5.8695 0.0000 0.0000
0.0000 5.8695 0.0000
0.0000 0.0000 5.1356
I K Ga Cl
2 1 1 1
Direct
0.0000 0.5000 0.0000
0.5000 0.0000 0.0000
0.5000 0.5000 0.5000
0.0000 0.0000 0.0000
0.0000 0.0000 0.5000



Pr2GeRu2 | Alexandria via LeMat-Bulk | PBE | optimized geometry; symmetry = C2/c, No. 15; ΔH_f (0 K) = -412 meV per atom
1.0
-1.7228 4.0634 3.7093
-4.8385 2.9788 -0.9768
-5.2911 -3.8870 4.4176
Pr Ge Ru
4 2 4
Direct
0.5068 0.2057 0.1438
0.7943 0.4932 0.3562
0.4932 0.7943 0.8562
0.2057 0.5068 0.6438
0.1089 0.8911 0.2500
0.8911 0.1089 0.7500
0.7110 0.0110 0.5108
0.9890 0.2890 0.9892
0.2890 0.9890 0.4892
0.0110 0.7110 0.0108



TcOs2Au | Alexandria via LeMat-Bulk | PBE | optimized geometry; symmetry = Cmmm, No. 65; energy relative to the lowest polymorph listed for this composition = 0.3243 eV/atom; ΔH_f (0 K) = 568 meV per atom
1.0
-1.9204 0.9155 1.6885
-0.5041 -2.2861 -1.3774
3.8258 -5.1467 7.1419
Au Os Tc
1 2 1
Direct
0.5000 0.5000 0.7500
0.0000 0.0000 0.0174
0.0000 0.0000 0.4826
0.5000 0.5000 0.2500



Pm4TlSeS2 | Alexandria via LeMat-Bulk | PBE | optimized geometry; symmetry = P2/m, No. 10; raw formation energy = -1525 meV per atom
1.0
-0.7859 3.4810 2.0378
-6.0610 -3.0257 2.8312
1.7599 -3.2780 6.2783
Pm Tl Se S
4 1 1 2
Direct
0.0000 0.7742 0.7327
0.0000 0.2258 0.2673
0.5000 0.7681 0.2483
0.5000 0.2319 0.7517
0.5000 0.5000 0.0000
0.0000 0.5000 0.5000
0.0000 0.0000 0.0000
0.5000 0.0000 0.5000



MgGa2SiHg | Alexandria via LeMat-Bulk | PBE | optimized geometry; symmetry = P4/mmm, No. 123; raw formation energy = 706 meV per atom
1.0
5.0838 0.0000 0.0000
0.0000 5.2094 0.0000
0.0000 0.0000 5.0838
Mg Si Hg Ga
1 1 1 2
Direct
0.0000 0.5000 0.0000
0.5000 0.5000 0.5000
0.0000 0.0000 0.0000
0.0000 0.0000 0.5000
0.5000 0.0000 0.0000



RbMn2VCl8 | Alexandria via LeMat-Bulk | PBE | optimized geometry; symmetry = R32, No. 155; raw formation energy = -1179 meV per atom
1.0
-2.5583 2.2165 5.2207
-3.0099 -3.8386 3.8625
7.1275 -2.3727 8.2078
Rb Mn V Cl
1 2 1 8
Direct
0.0000 0.0000 0.0000
0.7618 0.7618 0.7146
0.2382 0.2382 0.2854
0.5000 0.5000 0.5000
0.6896 0.6896 0.9312
0.3104 0.3104 0.0688
0.5679 0.2401 0.3495
0.7599 0.4321 0.6505
0.1576 0.7599 0.6505
0.2401 0.8424 0.3495
0.8424 0.5679 0.3495
0.4321 0.1576 0.6505



Sc2CuHRh | Alexandria via LeMat-Bulk | PBE | optimized geometry; symmetry = P4/mmm, No. 123; energy relative to the lowest polymorph listed for this composition = 0.0363 eV/atom
1.0
-1.7519 4.1174 -1.0016
-2.2264 0.0278 4.0084
2.7237 1.5244 1.5023
Sc H Rh Cu
2 1 1 1
Direct
0.0000 0.5000 0.0000
0.5000 0.0000 0.0000
0.0000 0.0000 0.0000
0.0000 0.0000 0.5000
0.5000 0.5000 0.5000



Be2CrPt | Alexandria via LeMat-Bulk | PBE | optimized geometry; symmetry = Amm2, No. 38; ΔH_f (0 K) = -278 meV per atom
1.0
-2.2012 0.9546 2.8052
1.3735 -1.7313 1.6670
3.4008 2.3075 1.8834
Cr Pt Be
1 1 2
Direct
0.0000 0.4743 0.4281
0.5000 0.7775 0.8182
0.0000 0.1947 0.9853
0.5000 0.0536 0.2684



Cs2UPbSe6 | Alexandria via LeMat-Bulk | PBE | optimized geometry; symmetry = Immm, No. 71; raw formation energy = -826 meV per atom
1.0
8.0256 -0.0001 -0.0022
-0.0001 8.0256 -0.0020
-4.0159 -4.0158 5.6761
Cs U Pb Se
2 1 1 6
Direct
0.7499 0.2506 0.5000
0.2501 0.7503 0.5000
0.4999 0.5004 0.9998
0.0000 0.0005 0.9999
0.7347 0.7352 0.9998
0.7353 0.7358 0.4694
0.2650 0.2656 0.9997
0.7346 0.2655 0.9995
0.2644 0.2649 0.5302
0.2650 0.7351 0.9995



Y3HgO | Alexandria via LeMat-Bulk | PBE | optimized geometry; symmetry = P1, No. 1; energy relative to the lowest polymorph listed for this composition = 0.0676 eV/atom; raw formation energy = -1334 meV per atom
1.0
-0.2950 -0.4822 6.9620
5.4741 -1.8491 3.4110
5.0912 4.9983 -4.2894
Y Hg O
6 2 2
Direct
0.1598 0.1196 0.4712
0.6411 0.7232 0.4052
0.3059 0.5562 0.9464
0.8297 0.9526 0.0182
0.6222 0.2112 0.4997
0.8435 0.4671 0.9297
0.2569 0.0633 0.8965
0.1961 0.6166 0.5185
0.7488 0.8277 0.7257
0.7937 0.2632 0.1092



Al2SeO | Alexandria via LeMat-Bulk | PBE | optimized geometry; symmetry = I-42d, No. 122; energy relative to the lowest polymorph listed for this composition = 0.0000 eV/atom; raw formation energy = -994 meV per atom
1.0
-3.5355 3.4086 0.1689
-0.6585 -0.9200 4.7819
1.7816 5.2031 3.7711
O Al Se
2 4 2
Direct
0.5000 0.5000 0.0000
0.2500 0.7500 0.5000
0.5112 0.1250 0.2500
0.2388 0.6250 0.2500
0.3750 0.4888 0.7500
0.8750 0.7612 0.7500
0.0000 0.0000 0.0000
0.7500 0.2500 0.5000



CaY5Pt6 | Alexandria via LeMat-Bulk | PBE | optimized geometry; symmetry = C2/m, No. 12; ΔH_f (0 K) = -1170 meV per atom
1.0
-1.1102 -1.3071 4.6409
6.5730 -4.9348 -2.4629
0.8033 8.5426 -0.0472
Y Ca Pt
5 1 6
Direct
0.5000 0.1614 0.8386
0.0000 0.3318 0.6682
0.5000 0.5000 0.5000
0.0000 0.6682 0.3318
0.5000 0.8386 0.1614
0.0000 0.0000 0.0000
0.2589 0.0865 0.4314
0.7411 0.5686 0.9135
0.7656 0.2654 0.2654
0.2344 0.7346 0.7346
0.2589 0.4314 0.0865
0.7411 0.9135 0.5686



Pm2B3Ir2 | Alexandria via LeMat-Bulk | PBE | optimized geometry; symmetry = C2/m, No. 12; ΔH_f (0 K) = -426 meV per atom
1.0
3.8080 0.0000 0.0000
-1.9040 4.8942 -0.6281
0.0000 -3.4469 6.4219
Pm B Ir
2 3 2
Direct
0.9297 0.8594 0.2048
0.0703 0.1406 0.7952
0.5000 0.0000 0.0000
0.6653 0.3306 0.2633
0.3347 0.6694 0.7367
0.7084 0.4167 0.6019
0.2916 0.5833 0.3981